(1)
The following is a GGA-PBE calculation of crystalline Ac2IN at its relaxed geometry, from the Alexandria database.

```
Ac2IN
1.0
8.2584 -1.7085 0.0000
-2.7482 6.5127 0.0000
0.0000 0.0000 10.8882
Ac I N
8 4 4
direct
0.8336 0.3288 0.6837
0.2447 0.1945 0.5507
0.2447 0.6945 0.9493
0.7553 0.3055 0.0507
0.1664 0.1712 0.1837
0.8336 0.8288 0.8163
0.1664 0.6712 0.3163
0.7553 0.8055 0.4493
0.6404 0.2309 0.3689
0.6404 0.7309 0.1311
0.3596 0.7691 0.6311
0.3596 0.2691 0.8689
0.9282 0.5630 0.8757
0.0718 0.4370 0.1243
0.0718 0.9370 0.3757
0.9282 0.0630 0.6243
```

For the final energy, the calculation gives -5.60 eV/atom. The size of the total moment is 0.000 μB/cell. The value obtained for the density of states at the Fermi level is 9.28 states/eV per cell. Its energy above the most stable polymorph in this dataset is 0.007 eV per atom. The calculation puts the energy relative to the elements, uncorrected at -1.081 eV/atom.

=====

(2)
The following is a GGA-PBE calculation of crystalline Ac4I5N2 at its relaxed geometry, from the Alexandria database.

```
Ac4I5N2
1.0
4.1141 0.0000 -0.6114
-0.3881 7.9269 -2.6114
-0.1134 -1.9446 13.3840
I Ac N
5 4 2
direct
0.5000 0.0000 0.0000
0.1884 0.7515 0.3768
0.8477 0.7740 0.6955
0.1523 0.2260 0.3045
0.8116 0.2485 0.6232
0.3924 0.1349 0.7849
0.9518 0.6036 0.9035
0.0482 0.3964 0.0965
0.6076 0.8651 0.2151
0.9495 0.3068 0.8990
0.0505 0.6932 0.1010
```

For the final energy, the calculation gives -5.11 eV/atom. The size of the total moment is 0.000 μB/cell. The value obtained for the density of states at the Fermi level is 1.10 states/eV per cell. Its energy above the most stable polymorph in this dataset is 0.000 eV per atom. The calculation puts the energy relative to the elements, uncorrected at -1.402 eV/atom.

=====

(3)
The following is a GGA-PBE calculation of crystalline AcIN2 at its relaxed geometry, from the Alexandria database.

```
AcIN2
1.0
-3.5755 2.5278 2.7289
-1.4643 -5.0286 2.7394
7.2826 0.3403 4.5174
N Ac I
4 2 2
direct
0.3025 0.6454 0.6089
0.6975 0.3546 0.3911
0.3025 0.8546 0.6089
0.6975 0.1454 0.3911
0.7633 0.7500 0.5277
0.2367 0.2500 0.4723
0.1100 0.7500 0.2094
0.8900 0.2500 0.7906
```

For the final energy, the calculation gives -6.32 eV/atom. The size of the total moment is 1.715 μB/cell. The value obtained for the density of states at the Fermi level is 5.29 states/eV per cell. The calculation puts the energy relative to the elements, uncorrected at -0.744 eV/atom.

=====

(4)
The following is a GGA-PBE calculation of crystalline Ac2IN at its relaxed geometry, from the Alexandria database.

```
Ac2IN
1.0
3.9655 -0.0064 -0.4378
-1.9777 3.4468 0.4384
-1.0807 -1.6689 8.3717
N Ac I
1 2 1
direct
0.0232 0.2528 0.0514
0.5732 0.5290 0.8774
0.4733 0.9767 0.2257
0.0230 0.7526 0.5516
```

For the final energy, the calculation gives -5.61 eV/atom. The size of the total moment is 0.000 μB/cell. The value obtained for the density of states at the Fermi level is 1.01 states/eV per cell. Its energy above the most stable polymorph in this dataset is 0.000 eV per atom. The calculation puts the energy relative to the elements, uncorrected at -1.088 eV/atom.

=====

> size of the total moment of number 4 (Ac2IN)?

0.000 μB/cell

=====

> Look up the size of the total moment of the second one.

0.000 μB/cell

=====

> Among the records above, which one has the highest final energy?

Ac4I5N2

=====

> Among the records above, which one has the lowest final energy?

AcIN2